(1)
DFT (PBE) results for a geometry-optimized ReW28 structure.

The formation energy is 8.70 eV per formula unit. The final energy is -12.64 eV per atom. For the calculated density, the calculation gives 18.46 Mg/m³. The calculation puts the spin magnetization at 0.00 μB per formula unit.

a = 9.8630 Å, b = 9.8630 Å, c = 9.8630 Å
α = 90.00°, β = 90.00°, γ = 90.00°
With the nearest neighbours (Å) after each atom.
Space group I-43m (No. 217)
Symmetry-distinct sites (fractional):
Re  0.0000  0.0000  0.0000 x2  16 W 3.07-3.11
W  0.0474  0.3606  0.6394 x24  8 W 2.66-2.90
W  0.0946  0.0946  0.7145 x24  8 W 2.64-2.87
W  0.1797  0.1797  0.1797 x8  9 W 2.75-3.02, 1 Re 3.07

(2)
DFT (PBE) results for a geometry-optimized Re8W5 structure.

The formation energy is 1.87 eV per formula unit. As for the excess energy over the best structure of this formula in the dataset: 0.000 eV/atom. The final energy is -12.49 eV per atom. For the calculated density, the calculation gives 19.45 Mg/m³. The calculation puts the spin magnetization at 0.09 μB per formula unit.

a = 5.1044 Å, b = 5.1044 Å, c = 27.3444 Å
α = 90.00°, β = 90.00°, γ = 120.00°
With the nearest neighbours (Å) after each atom.
Space group R-3m (No. 166, hexagonal axes)
Symmetry-distinct sites (fractional):
Re  0.0000  0.0000  0.0458 x6  7 Re 2.50-2.79
Re  0.0038  0.5019  0.9128 x18  6 Re 2.52-2.79, 3 W 2.64-2.81
W  0.0000  0.0000  0.1532 x6  10 Re 2.93-3.13, 6 W 2.97-3.04
W  0.0000  0.0000  0.3333 x6  6 Re 2.79-2.81, 3 W 2.95
W  0.0000  0.0000  0.5000 x3  6 Re 2.64

(3)
DFT (PBE) results for a geometry-optimized Re11W4 structure.

The formation energy is 1.13 eV per formula unit. As for the excess energy over the best structure of this formula in the dataset: 0.017 eV/atom. The final energy is -12.49 eV per atom. For the calculated density, the calculation gives 20.05 Mg/m³. The calculation puts the spin magnetization at 0.01 μB per formula unit.

a = 9.5893 Å, b = 9.5893 Å, c = 5.0133 Å
α = 90.00°, β = 90.00°, γ = 90.00°
With the nearest neighbours (Å) after each atom.
Space group P4_2/mnm (No. 136)
Symmetry-distinct sites (fractional):
Re  0.0000  0.0000  0.0000 x2  8 Re 2.59-2.85, 4 W 2.80
Re  0.0365  0.3647  0.5000 x8  6 Re 2.61-2.72
Re  0.0649  0.2626  0.0000 x8  6 Re 2.59-2.72, 4 W 2.76-2.80
Re  0.0995  0.0995  0.5000 x4  5 Re 2.61-2.85
W  0.1842  0.8158  0.2505 x8  2 W 2.50-2.51, 3 Re 2.76-2.80

(4)
DFT (PBE) results for a geometry-optimized Re2W11 structure.

The formation energy is 5.09 eV per formula unit. As for the excess energy over the best structure of this formula in the dataset: 0.076 eV/atom. The final energy is -12.49 eV per atom. For the calculated density, the calculation gives 18.52 Mg/m³. The calculation puts the spin magnetization at 0.00 μB per formula unit.

a = 5.1895 Å, b = 5.1895 Å, c = 27.6235 Å
α = 90.00°, β = 90.00°, γ = 120.00°
With the nearest neighbours (Å) after each atom.
Space group R-3m (No. 166, hexagonal axes)
Symmetry-distinct sites (fractional):
Re  0.0000  0.0000  0.1671 x6  6 W 2.82-2.85, 3 Re 3.00
W  0.0000  0.0000  0.0000 x3  6 W 2.67
W  0.0000  0.0000  0.3477 x6  16 W 2.92-3.16
W  0.0000  0.0000  0.4535 x6  7 W 2.57-2.83
W  0.0025  0.5013  0.4130 x18  7 W 2.58-2.83, 2 Re 2.82-2.85

(5)
DFT (PBE) results for a geometry-optimized Re16W13 structure.

The formation energy is 2.71 eV per formula unit. As for the excess energy over the best structure of this formula in the dataset: 0.000 eV/atom. The final energy is -12.57 eV per atom. For the calculated density, the calculation gives 19.51 Mg/m³. The calculation puts the spin magnetization at 0.01 μB per formula unit.

a = 9.7040 Å, b = 9.7040 Å, c = 9.7040 Å
α = 90.00°, β = 90.00°, γ = 90.00°
With the nearest neighbours (Å) after each atom.
Space group I-43m (No. 217)
Symmetry-distinct sites (fractional):
Re  0.0910  0.0910  0.7174 x24  3 Re 2.50-2.63, 3 W 2.64-2.74
Re  0.1768  0.1768  0.1768 x8  4 W 2.75-2.97, 6 Re 2.92
W  0.0000  0.0000  0.0000 x2  16 Re 2.97-3.01
W  0.0447  0.3586  0.6414 x24  6 Re 2.64-2.85, 6 W 2.88-2.93

(6)
DFT (PBE) results for a geometry-optimized Re2W structure.

The formation energy is 0.93 eV per formula unit. As for the excess energy over the best structure of this formula in the dataset: 0.232 eV/atom. The final energy is -12.29 eV per atom. For the calculated density, the calculation gives 19.39 Mg/m³. The calculation puts the spin magnetization at 0.00 μB per formula unit.

a = 5.1413 Å, b = 5.1413 Å, c = 16.6484 Å
α = 90.00°, β = 90.00°, γ = 120.00°
With the nearest neighbours (Å) after each atom.
Space group P6_3/mmc (No. 194)
Symmetry-distinct sites (fractional):
Re  0.0000  0.0000  0.0896 x4  10 Re 2.97-3.02, 6 W 3.03-3.16
Re  0.0000  0.5000  0.0000 x6  4 Re 2.57, 2 W 2.58
Re  0.1593  0.3186  0.2500 x6  4 Re 2.46-2.68, 2 W 2.57
W  0.3333  0.6667  0.1267 x4  6 Re 2.57-2.58
W  0.3333  0.6667  0.6549 x4  12 Re 2.98-3.16, 4 W 3.01-3.17

(7)
DFT (PBE) results for a geometry-optimized Re11W4 structure.

The formation energy is 2.25 eV per formula unit. As for the excess energy over the best structure of this formula in the dataset: 0.092 eV/atom. The final energy is -12.42 eV per atom. For the calculated density, the calculation gives 19.97 Mg/m³. The calculation puts the spin magnetization at 0.01 μB per formula unit.

a = 9.5715 Å, b = 9.5715 Å, c = 5.0539 Å
α = 90.00°, β = 90.00°, γ = 90.00°
With the nearest neighbours (Å) after each atom.
Space group P4_2/mnm (No. 136)
Symmetry-distinct sites (fractional):
Re  0.0000  0.0000  0.0000 x2  4 W 2.59, 8 Re 2.82-2.85
Re  0.0368  0.3621  0.5000 x8  2 Re 2.60-2.73, 4 W 2.70-2.72
Re  0.0977  0.0977  0.5000 x4  5 Re 2.60-2.85
Re  0.1858  0.8142  0.2531 x8  2 Re 2.50-2.56, 4 W 2.77-2.79
W  0.0612  0.2632  0.0000 x8  9 Re 2.59-2.79, 1 W 2.73

(8)
DFT (PBE) results for a geometry-optimized Re28W structure.

The formation energy is 1.06 eV per formula unit. The final energy is -12.40 eV per atom. For the calculated density, the calculation gives 20.39 Mg/m³. The calculation puts the spin magnetization at 0.01 μB per formula unit.

a = 9.5805 Å, b = 9.5805 Å, c = 9.5805 Å
α = 90.00°, β = 90.00°, γ = 90.00°
With the nearest neighbours (Å) after each atom.
Space group I-43m (No. 217)
Symmetry-distinct sites (fractional):
Re  0.0428  0.3582  0.6418 x24  8 Re 2.57-2.84
Re  0.0906  0.0906  0.7160 x24  6 Re 2.45-2.70
Re  0.1783  0.1783  0.1783 x8  9 Re 2.72-2.89, 1 W 2.96
W  0.0000  0.0000  0.0000 x2  16 Re 2.96-2.98

final energy of number 4 (Re2W11)?
-12.49 eV per atom